Density functional theory data (PBE+U) for a relaxed K4Mg3MnF12 crystal.

Lattice parameters (Å, degrees): 8.204 8.204 8.204 90.00 90.00 90.00
Space group Im-3m (No. 229)
Symmetry-distinct sites (fractional):
1 K 0.250 0.250 0.250 [8 per cell]
2 Mg 0.000 0.000 0.500 [6 per cell]
3 Mn 0.000 0.000 0.000 [2 per cell]
4 F 0.000 0.000 0.258 [12 per cell]
5 F 0.000 0.250 0.500 [12 per cell]

## Properties
The total energy comes out at -204.80 eV for the cell shown. The calculation puts the total magnetization at 5.000 μB/f.u.



Density functional theory data (PBE+U) for a relaxed K3Mg2MnF9 crystal.

Lattice parameters (Å, degrees): 5.8186 5.8186 7.1386 90.00 90.00 120.00
Space group P-3m1 (No. 164)
Symmetry-distinct sites (fractional):
1 K 0.0000 0.0000 0.0000 [1 per cell]
2 K 0.3333 0.6667 0.6657 [2 per cell]
3 Mg 0.3333 0.6667 0.1595 [2 per cell]
4 Mn 0.0000 0.0000 0.5000 [1 per cell]
5 F 0.0000 0.5000 0.0000 [3 per cell]
6 F 0.1716 0.3432 0.3254 [6 per cell]

## Properties
The total energy comes out at -77.65 eV for the cell shown. The calculation puts the total magnetization at 5.000 μB/f.u.



Density functional theory data (PBE+U) for a relaxed K2Mg3MoF12 crystal.

Lattice parameters (Å, degrees): 7.3191 7.3191 18.9300 90.00 90.00 120.00
Space group R-3m (No. 166, hexagonal axes)
Symmetry-distinct sites (fractional):
1 K 0.0000 0.0000 0.0893 [6 per cell]
2 Mg 0.0000 0.5000 0.0000 [9 per cell]
3 Mo 0.0000 0.0000 0.5000 [3 per cell]
4 F 0.0694 0.5347 0.1088 [18 per cell]
5 F 0.0697 0.5348 0.3517 [18 per cell]

## Properties
The total energy comes out at -275.04 eV for the cell shown. The calculation puts the total magnetization at 2.000 μB/f.u.



Density functional theory data (PBE+U) for a relaxed K2MgMoF6 crystal.

Lattice parameters (Å, degrees): 6.000 6.014 8.335 90.00 90.00 90.00
Space group Immm (No. 71)
Symmetry-distinct sites (fractional):
1 K 0.000 0.000 0.250 [4 per cell]
2 Mg 0.000 0.500 0.000 [2 per cell]
3 Mo 0.000 0.500 0.500 [2 per cell]
4 F 0.000 0.500 0.241 [4 per cell]
5 F 0.236 0.265 0.000 [8 per cell]

## Properties
The total energy comes out at -98.79 eV for the cell shown. The calculation puts the total magnetization at 2.000 μB/f.u.



Density functional theory data (PBE+U) for a relaxed KMgMoF6 crystal.

Lattice parameters (Å, degrees): 7.435 7.711 10.747 90.00 90.00 90.00
Space group Imma (No. 74)
Symmetry-distinct sites (fractional):
1 K 0.000 0.250 0.047 [4 per cell]
2 Mg 0.250 0.250 0.750 [4 per cell]
3 Mo 0.000 0.000 0.500 [4 per cell]
4 F 0.000 0.250 0.418 [4 per cell]
5 F 0.000 0.250 0.798 [4 per cell]
6 F 0.214 0.066 0.617 [16 per cell]

## Properties
The total energy comes out at -191.04 eV for the cell shown. The calculation puts the total magnetization at 3.000 μB/f.u.



Density functional theory data (PBE+U) for a relaxed K3Mg2MoF9 crystal.

Lattice parameters (Å, degrees): 5.8472 5.8472 7.2856 90.00 90.00 120.00
Space group P-3m1 (No. 164)
Symmetry-distinct sites (fractional):
1 K 0.0000 0.0000 0.0000 [1 per cell]
2 K 0.3333 0.6667 0.6649 [2 per cell]
3 Mg 0.3333 0.6667 0.1536 [2 per cell]
4 Mo 0.0000 0.0000 0.5000 [1 per cell]
5 F 0.0000 0.5000 0.0000 [3 per cell]
6 F 0.1738 0.3477 0.3171 [6 per cell]

## Properties
The total energy comes out at -73.41 eV for the cell shown. The calculation puts the total magnetization at 2.004 μB/f.u.